# YMgGa2Pd4 PBE-GGA relaxed
data_YMgGa2Pd4
_space_group_name_H-M_alt 'P 1'
_space_group_IT_number 1
_cell_length_a 8.473
_cell_length_b 8.473
_cell_length_c 8.473
_cell_angle_alpha 30.29
_cell_angle_beta 30.29
_cell_angle_gamma 30.29
loop_
_space_group_symop_operation_xyz
'x,y,z'
loop_
_atom_site_label
_atom_site_fract_x
_atom_site_fract_y
_atom_site_fract_z
Y1 0.000 0.000 0.000
Mg1 0.500 0.500 0.500
Ga1 0.244 0.244 0.244
Ga2 0.756 0.756 0.756
Pd1 0.126 0.126 0.126
Pd2 0.394 0.394 0.394
Pd3 0.606 0.606 0.606
Pd4 0.874 0.874 0.874
# Total DFT energy (no corrections) ... -5.107 eV/atom
# Total moment ... 0.00 μB/cell
# Density ... 8.213 Mg/m³
# Energy of formation ... -746 meV/atom

=====

# YMg2Ga2Pd PBE-GGA relaxed
data_YMg2Ga2Pd
_space_group_name_H-M_alt 'P 1'
_space_group_IT_number 1
_cell_length_a 5.158
_cell_length_b 5.158
_cell_length_c 10.711
_cell_angle_alpha 90.00
_cell_angle_beta 90.00
_cell_angle_gamma 90.00
loop_
_space_group_symop_operation_xyz
'x,y,z'
loop_
_atom_site_label
_atom_site_fract_x
_atom_site_fract_y
_atom_site_fract_z
Y1 0.000 0.000 0.000
Y2 0.500 0.500 0.500
Mg1 0.000 0.500 0.250
Mg2 0.000 0.500 0.750
Mg3 0.500 0.000 0.250
Mg4 0.500 0.000 0.750
Ga1 0.000 0.000 0.277
Ga2 0.000 0.000 0.723
Ga3 0.500 0.500 0.223
Ga4 0.500 0.500 0.777
Pd1 0.000 0.000 0.500
Pd2 0.500 0.500 0.000
# Total DFT energy (no corrections) ... -3.483 eV/atom
# Total moment ... 0.00 μB/cell
# Density ... 4.468 Mg/m³
# Energy of formation ... 0 meV/atom

=====

# MgZnGaPd PBE-GGA relaxed
data_MgZnGaPd
_space_group_name_H-M_alt 'P 1'
_space_group_IT_number 1
_cell_length_a 6.323
_cell_length_b 6.323
_cell_length_c 6.323
_cell_angle_alpha 90.00
_cell_angle_beta 90.00
_cell_angle_gamma 90.00
loop_
_space_group_symop_operation_xyz
'x,y,z'
loop_
_atom_site_label
_atom_site_fract_x
_atom_site_fract_y
_atom_site_fract_z
Mg1 0.000 0.000 0.000
Mg2 0.000 0.500 0.500
Mg3 0.500 0.000 0.500
Mg4 0.500 0.500 0.000
Zn1 0.250 0.250 0.750
Zn2 0.250 0.750 0.250
Zn3 0.750 0.250 0.250
Zn4 0.750 0.750 0.750
Ga1 0.000 0.000 0.500
Ga2 0.000 0.500 0.000
Ga3 0.500 0.000 0.000
Ga4 0.500 0.500 0.500
Pd1 0.250 0.250 0.250
Pd2 0.250 0.750 0.750
Pd3 0.750 0.250 0.750
Pd4 0.750 0.750 0.250
# Total DFT energy (no corrections) ... -3.138 eV/atom
# Total moment ... 0.00 μB/cell
# Distance to the lowest polymorph of the same formula ... 0.0 meV/atom
# Density ... 6.987 Mg/m³
# Energy of formation ... -366 meV/atom

=====

# Mg3Zn2GaPd3 PBE-GGA relaxed
data_Mg3Zn2GaPd3
_space_group_name_H-M_alt 'P 1'
_space_group_IT_number 1
_cell_length_a 7.548
_cell_length_b 7.548
_cell_length_c 2.910
_cell_angle_alpha 90.00
_cell_angle_beta 90.00
_cell_angle_gamma 120.00
loop_
_space_group_symop_operation_xyz
'x,y,z'
loop_
_atom_site_label
_atom_site_fract_x
_atom_site_fract_y
_atom_site_fract_z
Mg1 0.000 0.691 0.000
Mg2 0.309 0.309 0.000
Mg3 0.691 0.000 0.000
Zn1 0.333 0.667 0.000
Zn2 0.667 0.333 0.000
Ga1 0.000 0.000 0.500
Pd1 0.000 0.360 0.500
Pd2 0.360 0.000 0.500
Pd3 0.640 0.640 0.500
# Total DFT energy (no corrections) ... -3.342 eV/atom
# Total moment ... 0.00 μB/cell
# Density ... 6.856 Mg/m³
# Energy of formation ... -460 meV/atom

=====

# MgZnGa2Pd2 PBE-GGA relaxed
data_MgZnGa2Pd2
_space_group_name_H-M_alt 'P 1'
_space_group_IT_number 1
_cell_length_a 4.415
_cell_length_b 4.415
_cell_length_c 5.641
_cell_angle_alpha 90.00
_cell_angle_beta 90.00
_cell_angle_gamma 120.00
loop_
_space_group_symop_operation_xyz
'x,y,z'
loop_
_atom_site_label
_atom_site_fract_x
_atom_site_fract_y
_atom_site_fract_z
Mg1 0.000 0.000 0.000
Zn1 0.000 0.000 0.500
Ga1 0.333 0.667 0.755
Ga2 0.667 0.333 0.245
Pd1 0.333 0.667 0.268
Pd2 0.667 0.333 0.732
# Total DFT energy (no corrections) ... -3.679 eV/atom
# Total moment ... 0.00 μB/cell
# Density ... 7.706 Mg/m³
# Energy of formation ... -461 meV/atom

=====

# Mg2ZnGa2Pd5 PBE-GGA relaxed
data_Mg2ZnGa2Pd5
_space_group_name_H-M_alt 'P 1'
_space_group_IT_number 1
_cell_length_a 9.485
_cell_length_b 9.485
_cell_length_c 3.629
_cell_angle_alpha 90.00
_cell_angle_beta 90.00
_cell_angle_gamma 90.00
loop_
_space_group_symop_operation_xyz
'x,y,z'
loop_
_atom_site_label
_atom_site_fract_x
_atom_site_fract_y
_atom_site_fract_z
Mg1 0.171 0.329 0.000
Mg2 0.329 0.829 0.000
Mg3 0.671 0.171 0.000
Mg4 0.829 0.671 0.000
Zn1 0.000 0.000 0.000
Zn2 0.500 0.500 0.000
Ga1 0.129 0.629 0.000
Ga2 0.371 0.129 0.000
Ga3 0.629 0.871 0.000
Ga4 0.871 0.371 0.000
Pd1 0.000 0.500 0.500
Pd2 0.076 0.804 0.500
Pd3 0.196 0.076 0.500
Pd4 0.304 0.576 0.500
Pd5 0.424 0.304 0.500
Pd6 0.500 0.000 0.500
Pd7 0.576 0.696 0.500
Pd8 0.696 0.424 0.500
Pd9 0.804 0.924 0.500
Pd10 0.924 0.196 0.500
# Total DFT energy (no corrections) ... -4.228 eV/atom
# Total moment ... 0.00 μB/cell
# Density ... 7.991 Mg/m³
# Energy of formation ... -580 meV/atom

=====

# MgZn2GaPd2 PBE-GGA relaxed
data_MgZn2GaPd2
_space_group_name_H-M_alt 'P 1'
_space_group_IT_number 1
_cell_length_a 4.332
_cell_length_b 8.270
_cell_length_c 5.201
_cell_angle_alpha 90.00
_cell_angle_beta 90.00
_cell_angle_gamma 90.00
loop_
_space_group_symop_operation_xyz
'x,y,z'
loop_
_atom_site_label
_atom_site_fract_x
_atom_site_fract_y
_atom_site_fract_z
Mg1 0.000 0.076 0.000
Mg2 0.000 0.924 0.500
Zn1 0.000 0.282 0.438
Zn2 0.000 0.718 0.938
Zn3 0.500 0.428 0.222
Zn4 0.500 0.572 0.722
Ga1 0.500 0.231 0.759
Ga2 0.500 0.769 0.259
Pd1 0.000 0.400 0.915
Pd2 0.000 0.600 0.415
Pd3 0.500 0.096 0.310
Pd4 0.500 0.904 0.810
# Total DFT energy (no corrections) ... -3.387 eV/atom
# Total moment ... 0.00 μB/cell
# Density ... 7.801 Mg/m³
# Energy of formation ... -461 meV/atom

=====

# Mg3Zn5Ga2Pd2 PBE-GGA relaxed
data_Mg3Zn5Ga2Pd2
_space_group_name_H-M_alt 'P 1'
_space_group_IT_number 1
_cell_length_a 15.187
_cell_length_b 15.187
_cell_length_c 15.187
_cell_angle_alpha 165.84
_cell_angle_beta 165.84
_cell_angle_gamma 20.08
loop_
_space_group_symop_operation_xyz
'x,y,z'
loop_
_atom_site_label
_atom_site_fract_x
_atom_site_fract_y
_atom_site_fract_z
Mg1 0.000 0.000 0.000
Mg2 0.190 0.190 0.000
Mg3 0.810 0.810 0.000
Zn1 0.074 0.574 0.500
Zn2 0.426 0.926 0.500
Zn3 0.500 0.500 0.000
Zn4 0.574 0.074 0.500
Zn5 0.926 0.426 0.500
Ga1 0.362 0.362 0.000
Ga2 0.638 0.638 0.000
Pd1 0.279 0.279 0.000
Pd2 0.721 0.721 0.000
# Total DFT energy (no corrections) ... -2.449 eV/atom
# Total moment ... 0.00 μB/cell
# Density ... 5.957 Mg/m³
# Energy of formation ... -150 meV/atom

=====

Question: What is the total moment in the fourth record?
Answer: 0.00 μB/cell

=====

Question: What is the total DFT energy (no corrections) in the seventh record?
Answer: -3.387 eV/atom